# VCo3Re | Alexandria via LeMat-Bulk | GGA-PBE | relaxed
# Formation energy from the elements: -2.1 kJ per mole of atoms
# Energy above the most stable polymorph in this dataset: 0 meV per atom
# Total magnetic moment: 2.7 μB/cell
data_VCo3Re
_chemical_formula_sum 'V2 Co6 Re2'
_cell_length_a 4.9188
_cell_length_b 6.8117
_cell_length_c 4.4558
_cell_angle_alpha 70.97
_cell_angle_beta 89.94
_cell_angle_gamma 59.86
_space_group_name_H-M_alt 'P 1'
_space_group_IT_number 1
loop_
_space_group_symop_operation_xyz
'x,y,z'
loop_
_atom_site_label
_atom_site_type_symbol
_atom_site_fract_x
_atom_site_fract_y
_atom_site_fract_z
_atom_site_occupancy
V1 V 0.2944 0.7688 0.7013 1
V2 V 0.7056 0.2312 0.2987 1
Co1 Co 0.2443 0.4067 0.8720 1
Co2 Co 0.2429 0.5976 0.2917 1
Co3 Co 0.2440 0.1997 0.4801 1
Co4 Co 0.7557 0.5933 0.1280 1
Co5 Co 0.7571 0.4024 0.7083 1
Co6 Co 0.7560 0.8003 0.5199 1
Re1 Re 0.2456 0.0101 0.0906 1
Re2 Re 0.7544 0.9899 0.9094 1



# V4CoRe3 | Alexandria via LeMat-Bulk | GGA-PBE | relaxed
# Formation energy from the elements: -26.4 kJ per mole of atoms
# Total magnetic moment: 2.0 μB/cell
data_V4CoRe3
_chemical_formula_sum 'V4 Co1 Re3'
_cell_length_a 3.0305
_cell_length_b 3.0305
_cell_length_c 11.8678
_cell_angle_alpha 90.00
_cell_angle_beta 90.00
_cell_angle_gamma 90.00
_space_group_name_H-M_alt 'P 1'
_space_group_IT_number 1
loop_
_space_group_symop_operation_xyz
'x,y,z'
loop_
_atom_site_label
_atom_site_type_symbol
_atom_site_fract_x
_atom_site_fract_y
_atom_site_fract_z
_atom_site_occupancy
Re1 Re 0.5000 0.5000 0.2427 1
Re2 Re 0.5000 0.5000 0.5000 1
Re3 Re 0.5000 0.5000 0.7573 1
Co1 Co 0.5000 0.5000 0.0000 1
V1 V 0.0000 0.0000 0.8814 1
V2 V 0.0000 0.0000 0.1186 1
V3 V 0.0000 0.0000 0.3722 1
V4 V 0.0000 0.0000 0.6278 1



# VCoRe2 | Alexandria via LeMat-Bulk | GGA-PBE | relaxed
# Formation energy from the elements: 66.9 kJ per mole of atoms
# Energy above the most stable polymorph in this dataset: 727 meV per atom
# Total magnetic moment: 0.0 μB/cell
data_VCoRe2
_chemical_formula_sum 'V2 Co2 Re4'
_cell_length_a 3.6612
_cell_length_b 3.6612
_cell_length_c 9.2298
_cell_angle_alpha 78.56
_cell_angle_beta 78.56
_cell_angle_gamma 90.00
_space_group_name_H-M_alt 'P 1'
_space_group_IT_number 1
loop_
_space_group_symop_operation_xyz
'x,y,z'
loop_
_atom_site_label
_atom_site_type_symbol
_atom_site_fract_x
_atom_site_fract_y
_atom_site_fract_z
_atom_site_occupancy
Re1 Re 0.6351 0.1250 0.2500 1
Re2 Re 0.1149 0.6250 0.2500 1
Re3 Re 0.3750 0.3649 0.7500 1
Re4 Re 0.8750 0.8851 0.7500 1
Co1 Co 0.0000 0.0000 0.0000 1
Co2 Co 0.7500 0.2500 0.5000 1
V1 V 0.5000 0.5000 0.0000 1
V2 V 0.2500 0.7500 0.5000 1